Se2O2F | Alexandria | GGA-PBE | relaxed; space group = No. 12; formation energy (no corrections) = -491.6 meV per atom; mass density = 4.4 g/cm3; spin magnetization = 0.0 μB/f.u.; DFT total energy = -4.243 eV/atom
1.0
0.1007 3.9505 -2.7200
2.1889 -3.4493 -2.5150
-4.7060 -1.2677 2.1777
F Se O
1 2 2
Cartesian
0.0000 0.0000 0.0000
-0.0537 -0.0900 -2.7028
-2.3627 -0.6766 -0.3544
-1.9245 2.1551 -1.5990
-0.4919 -2.9217 -1.4583